Record 1
Material: TbGa6
Method: DFT, SCAN
State: single point on PBEsol structure

Properties
M_tot = 0.0 μB per formula unit
energy = -21.063 eV per atom

Cell: 5.854 5.854 7.501 Å, 90.00 90.00 90.00°
Fractional positions:
Tb  0.500  0.000  0.000
Tb  0.000  0.500  0.000
Ga  0.821  0.321  0.648
Ga  0.500  0.500  0.839
Ga  0.679  0.179  0.352
Ga  0.179  0.321  0.352
Ga  0.179  0.679  0.648
Ga  0.321  0.821  0.352
Ga  0.500  0.500  0.161
Ga  0.000  0.000  0.839
Ga  0.321  0.179  0.648
Ga  0.679  0.821  0.648
Ga  0.000  0.000  0.161
Ga  0.821  0.679  0.352

Record 2
Material: CoIrOs2
Method: DFT, SCAN
State: single point on PBEsol structure

Properties
M_tot = 1.3 μB per formula unit
energy = -57.890 eV per atom
energy relative to the lowest polymorph listed for this composition = 0.12 eV/f.u.

Cell: 2.661 4.575 4.583 Å, 99.51 90.00 106.90°
Fractional positions:
Os  0.000  0.000  0.005
Os  0.751  0.502  0.254
Ir  0.250  0.501  0.744
Co  0.499  0.997  0.497

Record 3
Material: Sr2YSc
Method: DFT, SCAN
State: single point on PBEsol structure

Properties
M_tot = 0.5 μB per formula unit
energy = -21.311 eV per atom

Cell: 3.680 3.680 12.383 Å, 81.45 81.45 60.00°
Fractional positions:
Sr  0.747  0.747  0.760
Sr  0.253  0.253  0.240
Y  0.500  0.500  0.500
Sc  0.000  0.000  0.000

Record 4
Material: LaSbTe
Method: DFT, SCAN
State: single point on PBEsol structure

Properties
M_tot = 0.0 μB per formula unit
energy = -40.594 eV per atom
energy relative to the elements, uncorrected = -1.389 eV per atom

Cell: 4.321 7.961 10.570 Å, 90.00 90.00 90.00°
Fractional positions:
La  0.250  0.215  0.656
La  0.750  0.785  0.344
La  0.250  0.715  0.844
La  0.750  0.285  0.156
Sb  0.750  0.393  0.456
Sb  0.250  0.107  0.956
Sb  0.750  0.893  0.044
Sb  0.250  0.607  0.544
Te  0.250  0.591  0.157
Te  0.750  0.909  0.657
Te  0.750  0.409  0.843
Te  0.250  0.091  0.343

Record 5
Material: Mn2RhPb
Method: DFT, SCAN
State: single point on PBEsol structure

Properties
M_tot = 0.3 μB per formula unit
energy = -36.620 eV per atom

Cell: 3.152 3.152 6.326 Å, 90.00 90.00 90.00°
Fractional positions:
Pb  0.000  0.000  0.500
Mn  0.500  0.500  0.197
Mn  0.000  0.000  0.011
Rh  0.500  0.500  0.792

Record 6
Material: Li2InGe2
Method: DFT, SCAN
State: single point on PBEsol structure

Properties
M_tot = 0.0 μB per formula unit
energy = -15.472 eV per atom

Cell: 2.928 7.772 7.772 Å, 90.00 90.00 90.00°
Fractional positions:
Li  0.500  0.185  0.685
Li  0.500  0.315  0.185
Li  0.500  0.815  0.315
Li  0.500  0.685  0.815
Ge  0.000  0.386  0.886
Ge  0.000  0.114  0.386
Ge  0.000  0.886  0.614
Ge  0.000  0.614  0.114
In  0.000  0.500  0.500
In  0.000  0.000  0.000

Record 7
Material: Ag2SBr
Method: DFT, SCAN
State: single point on PBEsol structure

Properties
M_tot = 0.0 μB per formula unit
energy = -23.055 eV per atom
energy relative to the elements, uncorrected = -0.100 eV per atom
energy relative to the lowest polymorph listed for this composition = 0.00 eV/f.u.

Cell: 5.831 5.831 7.162 Å, 114.02 114.02 90.00°
Fractional positions:
Ag  0.125  0.174  0.750
Ag  0.625  0.576  0.750
Ag  0.424  0.875  0.250
Ag  0.826  0.375  0.250
S  0.500  0.500  0.000
S  0.750  0.250  0.500
Br  0.000  0.000  0.000
Br  0.250  0.750  0.500

Record 8
Material: SrAlF3
Method: DFT, SCAN
State: single point on PBEsol structure

Properties
M_tot = 0.0 μB per formula unit
energy = -10.791 eV per atom
energy relative to the elements, uncorrected = -2.662 eV per atom

Cell: 4.665 4.665 4.665 Å, 90.00 90.00 90.00°
Fractional positions:
F  0.500  0.000  0.500
F  0.000  0.500  0.500
F  0.500  0.500  0.000
Sr  0.500  0.500  0.500
Al  0.000  0.000  0.000